(1)
The following is a PBE-GGA calculation of a geometry-optimized Rb2TlPPt structure, from the Alexandria database.

abc: 6.671 6.671 4.372
angles: 90.00 90.00 90.00
Atoms (fractional coordinates):
Tl  0.500  0.500  0.500
Rb  0.500  0.000  0.000
Rb  0.000  0.500  0.000
Pt  0.000  0.000  0.500
P  0.000  0.000  0.000

Properties
DFT total energy in eV/atom: -3.301
Fermi-level density of states in states/eV per cell: 3.5
Formation energy from the elements in eV per atom: -0.150
Symmetry: P4/mmm
Relative energy among the computed polymorphs in eV per atom: 0.000



(2)
The following is a PBE-GGA calculation of a geometry-optimized Rb2TlPPt structure, from the Alexandria database.

abc: 6.692 6.692 4.397
angles: 90.00 90.00 90.00
Atoms (fractional coordinates):
Rb  0.000  0.500  0.000
Rb  0.500  0.000  0.000
P  0.000  0.000  0.500
Pt  0.000  0.000  0.000
Tl  0.500  0.500  0.500

Properties
DFT total energy in eV/atom: -3.298
Fermi-level density of states in states/eV per cell: 3.4
Formation energy from the elements in eV per atom: -0.148
Symmetry: P4/mmm
Relative energy among the computed polymorphs in eV per atom: 0.003



(3)
The following is a PBE-GGA calculation of a geometry-optimized RbTmP2Pt4 structure, from the Alexandria database.

abc: 4.036 4.036 10.896
angles: 90.00 90.00 90.00
Atoms (fractional coordinates):
Tm  0.000  0.000  0.000
P  0.500  0.500  0.302
P  0.500  0.500  0.698
Pt  0.000  0.500  0.808
Pt  0.500  0.000  0.808
Pt  0.500  0.000  0.192
Pt  0.000  0.500  0.192
Rb  0.000  0.000  0.500

Properties
DFT total energy in eV/atom: -5.816
Fermi-level density of states in states/eV per cell: 3.8
Formation energy from the elements in eV per atom: -0.763
Symmetry: P4/mmm



(4)
The following is a PBE-GGA calculation of a geometry-optimized Rb2ZnPPt structure, from the Alexandria database.

abc: 6.656 6.656 4.404
angles: 90.00 90.00 90.00
Atoms (fractional coordinates):
P  0.000  0.000  0.500
Zn  0.500  0.500  0.500
Pt  0.000  0.000  0.000
Rb  0.000  0.500  0.000
Rb  0.500  0.000  0.000

Properties
DFT total energy in eV/atom: -3.092
Fermi-level density of states in states/eV per cell: 2.2
Formation energy from the elements in eV per atom: -0.160
Symmetry: P4/mmm
Relative energy among the computed polymorphs in eV per atom: 0.000



(5)
The following is a PBE-GGA calculation of a geometry-optimized Rb2ZnPPt structure, from the Alexandria database.

abc: 6.428 4.815 6.428
angles: 90.00 90.00 90.00
Each line ends with the local moment (μB).
Atoms (fractional coordinates):
P  0.500  0.500  0.500  0.77
Zn  0.000  0.500  0.000  0.00
Rb  0.000  0.000  0.500  0.00
Rb  0.500  0.000  0.000  0.00
Pt  0.000  0.000  0.000  0.03

Properties
DFT total energy in eV/atom: -2.604
Fermi-level density of states in states/eV per cell: 2.5
Formation energy from the elements in eV per atom: 0.328
Symmetry: P4/mmm
Relative energy among the computed polymorphs in eV per atom: 0.488



(6)
The following is a PBE-GGA calculation of a geometry-optimized Re3PPt structure, from the Alexandria database.

abc: 4.750 4.750 4.750
angles: 90.00 90.00 90.00
Each line ends with the local moment (μB).
Atoms (fractional coordinates):
Pt  0.000  0.000  0.000  -0.01
P  0.500  0.500  0.500  -0.06
Re  0.000  0.500  0.000  0.35
Re  0.500  0.000  0.000  0.34
Re  0.000  0.000  0.500  0.31

Properties
DFT total energy in eV/atom: -7.061
Fermi-level density of states in states/eV per cell: 7.6
Formation energy from the elements in eV per atom: 2.698
Symmetry: Pm-3m
Relative energy among the computed polymorphs in eV per atom: 1.826



(7)
The following is a PBE-GGA calculation of a geometry-optimized Re2PPt structure, from the Alexandria database.

abc: 2.906 2.906 6.696
angles: 90.00 90.00 90.00
Atoms (fractional coordinates):
P  0.500  0.500  0.000
Pt  0.500  0.500  0.500
Re  0.000  0.000  0.208
Re  0.000  0.000  0.792

Properties
DFT total energy in eV/atom: -9.146
Fermi-level density of states in states/eV per cell: 4.4
Formation energy from the elements in eV per atom: -0.059
Symmetry: P4/mmm
Relative energy among the computed polymorphs in eV per atom: 0.000



(8)
The following is a PBE-GGA calculation of a geometry-optimized Re2PPt structure, from the Alexandria database.

abc: 2.903 2.903 6.848
angles: 90.00 90.00 90.00
Atoms (fractional coordinates):
P  0.000  0.000  0.481
Pt  0.500  0.500  0.725
Re  0.000  0.000  0.014
Re  0.500  0.500  0.280

Properties
DFT total energy in eV/atom: -9.086
Fermi-level density of states in states/eV per cell: 3.4
Formation energy from the elements in eV per atom: 0.001
Symmetry: P4mm
Relative energy among the computed polymorphs in eV per atom: 0.060



(9)
The following is a PBE-GGA calculation of a geometry-optimized Re2PPt structure, from the Alexandria database.

abc: 4.023 4.023 5.869
angles: 80.61 80.61 40.41
Atoms (fractional coordinates):
Re  0.251  0.251  0.705
Re  0.749  0.749  0.295
P  0.000  0.000  0.500
Pt  0.500  0.500  0.000

Properties
DFT total energy in eV/atom: -8.907
Fermi-level density of states in states/eV per cell: 3.8
Formation energy from the elements in eV per atom: 0.179
Symmetry: C2/m
Relative energy among the computed polymorphs in eV per atom: 0.238



(10)
The following is a PBE-GGA calculation of a geometry-optimized ReP3Pt structure, from the Alexandria database.

abc: 4.553 4.553 4.553
angles: 90.00 90.00 90.00
Atoms (fractional coordinates):
Re  0.500  0.500  0.500
P  0.500  0.000  0.000
P  0.000  0.000  0.500
P  0.000  0.500  0.000
Pt  0.000  0.000  0.000

Properties
DFT total energy in eV/atom: -5.442
Fermi-level density of states in states/eV per cell: 4.1
Formation energy from the elements in eV per atom: 1.502
Symmetry: Pm-3m
Relative energy among the computed polymorphs in eV per atom: 0.696



(11)
The following is a PBE-GGA calculation of a geometry-optimized Re2PPt structure, from the Alexandria database.

abc: 8.587 8.587 8.587
angles: 18.96 18.96 18.96
Atoms (fractional coordinates):
Re  0.756  0.756  0.756
Re  0.003  0.003  0.003
P  0.496  0.496  0.496
Pt  0.245  0.245  0.245

Properties
DFT total energy in eV/atom: -9.096
Fermi-level density of states in states/eV per cell: 2.2
Formation energy from the elements in eV per atom: -0.009
Symmetry: R3m
Relative energy among the computed polymorphs in eV per atom: 0.050



(12)
The following is a PBE-GGA calculation of a geometry-optimized Re2PPt structure, from the Alexandria database.

abc: 2.829 3.846 5.531
angles: 90.00 90.00 90.00
Atoms (fractional coordinates):
Re  0.000  0.000  0.032
Re  0.500  0.500  0.249
P  0.000  0.000  0.463
Pt  0.500  0.500  0.756

Properties
DFT total energy in eV/atom: -8.899
Fermi-level density of states in states/eV per cell: 2.5
Formation energy from the elements in eV per atom: 0.188
Symmetry: Pmm2
Relative energy among the computed polymorphs in eV per atom: 0.247



(13)
The following is a PBE-GGA calculation of a geometry-optimized Re3PPt structure, from the Alexandria database.

abc: 4.343 4.343 4.343
angles: 90.00 90.00 90.00
Atoms (fractional coordinates):
Pt  0.500  0.500  0.500
Re  0.000  0.000  0.500
Re  0.000  0.500  0.000
Re  0.500  0.000  0.000
P  0.000  0.000  0.000

Properties
DFT total energy in eV/atom: -8.887
Fermi-level density of states in states/eV per cell: 4.1
Formation energy from the elements in eV per atom: 0.872
Symmetry: Pm-3m
Relative energy among the computed polymorphs in eV per atom: 0.000



(14)
The following is a PBE-GGA calculation of a geometry-optimized Re4PPt structure, from the Alexandria database.

abc: 5.183 5.183 5.183
angles: 60.00 60.00 60.00
Atoms (fractional coordinates):
Re  0.374  0.877  0.374
Re  0.877  0.374  0.374
Re  0.374  0.374  0.374
Re  0.374  0.374  0.877
P  0.750  0.750  0.750
Pt  0.000  0.000  0.000

Properties
DFT total energy in eV/atom: -9.385
Fermi-level density of states in states/eV per cell: 3.8
Formation energy from the elements in eV per atom: 0.822
Symmetry: F-43m



(15)
The following is a PBE-GGA calculation of a geometry-optimized Re2PPt structure, from the Alexandria database.

abc: 8.469 8.469 8.469
angles: 19.18 19.18 19.18
Atoms (fractional coordinates):
Re  0.758  0.758  0.758
Re  0.242  0.242  0.242
Pt  0.000  0.000  0.000
P  0.500  0.500  0.500

Properties
DFT total energy in eV/atom: -9.098
Fermi-level density of states in states/eV per cell: 1.8
Formation energy from the elements in eV per atom: -0.011
Symmetry: R-3m
Relative energy among the computed polymorphs in eV per atom: 0.048